1.
RbZnCu3: relaxed, PBE-GGA.

Cell lengths 4.813, 4.813, 4.813 Å; angles 90.00, 90.00, 90.00 degrees
Sites, in units of the cell vectors:
Rb: 0.500 0.500 0.500
Zn: 0.000 0.000 0.000
Cu: 0.000 0.500 0.000
Cu: 0.000 0.000 0.500
Cu: 0.500 0.000 0.000

Results
ρ	5.1	g/cm³
space-group type	Pm-3m
distance to the lowest polymorph of the same formula	0	meV per atom
DOS at the Fermi energy	1.29	states/eV/f.u.


2.
CsErMgCl6: relaxed, PBE-GGA.

Cell lengths 6.767, 6.767, 7.818 Å; angles 90.00, 90.00, 59.99 degrees
Sites, in units of the cell vectors:
Cl: 0.384 0.626 0.310
Cl: 0.626 0.384 0.690
Cl: 0.990 0.384 0.310
Cl: 0.384 0.990 0.690
Cl: 0.990 0.626 0.690
Cl: 0.626 0.990 0.310
Cs: 0.000 0.000 0.000
Er: 0.333 0.333 0.500
Mg: 0.667 0.667 0.500

Results
ρ	2.9	g/cm³
energy relative to the elements, uncorrected	-2.12	eV/atom
space-group type	P312
DOS at the Fermi energy	0.00	states/eV/f.u.


3.
CrCoS2: relaxed, PBE-GGA.

Cell lengths 5.174, 5.174, 6.362 Å; angles 66.00, 66.00, 90.00 degrees
Site moments in Bohr magnetons follow the coordinates.
Sites, in units of the cell vectors:
S: 0.635 0.125 0.250  -0.15
S: 0.875 0.885 0.750  -0.14
S: 0.115 0.625 0.250  -0.14
S: 0.375 0.365 0.750  -0.14
Cr: 0.500 0.500 0.000  2.77
Cr: 0.250 0.750 0.500  2.76
Co: 0.750 0.250 0.500  -1.67
Co: 0.000 0.000 0.000  -1.66

Results
ρ	4.2	g/cm³
energy relative to the elements, uncorrected	-0.41	eV/atom
space-group type	I-42d
distance to the lowest polymorph of the same formula	159	meV per atom
DOS at the Fermi energy	3.28	states/eV/f.u.


4.
BaCaY: relaxed, PBE-GGA.

Cell lengths 5.930, 5.930, 5.930 Å; angles 60.00, 60.00, 60.00 degrees
Sites, in units of the cell vectors:
Ba: 0.750 0.750 0.750
Ca: 0.000 0.000 0.000
Y: 0.500 0.500 0.500

Results
ρ	3.0	g/cm³
space-group type	F-43m
distance to the lowest polymorph of the same formula	659	meV per atom
DOS at the Fermi energy	6.66	states/eV/f.u.


> What is the DOS at the Fermi energy in the second record?

0.00 states/eV/f.u.